Here is RbInPt after structural relaxation from OQMD via LeMat-Bulk. Energies are from PBE.

Results
ρ, g/cm3: 7.10
Electronic total energy, eV/cell: -37.920

Cell: 7.1799 7.1799 7.1799 Å, 90.00 90.00 90.00°
Closest atoms and distances in Å follow each position.
Space group F-43m (No. 216)
Inequivalent atoms, fractional coordinates:
Rb 0.0000 0.0000 0.0000 (multiplicity 4)  4 Pt 3.11
In 0.0000 0.0000 0.5000 (multiplicity 4)  4 Pt 3.11
Pt 0.2500 0.2500 0.7500 (multiplicity 4)  4 In 3.11, 4 Rb 3.11


Here is RbInPt after structural relaxation from OQMD via LeMat-Bulk. Energies are from PBE.

Results
ρ, g/cm3: 6.40
Electronic total energy, eV/cell: -30.499

Cell: 7.4323 7.4323 7.4323 Å, 90.00 90.00 90.00°
Closest atoms and distances in Å follow each position.
Space group F-43m (No. 216)
Inequivalent atoms, fractional coordinates:
Rb 0.0000 0.0000 0.0000 (multiplicity 4)  4 Pt 3.22, 4 In 3.22
In 0.2500 0.2500 0.7500 (multiplicity 4)  4 Rb 3.22
Pt 0.2500 0.2500 0.2500 (multiplicity 4)  4 Rb 3.22


Here is In10PtS10 after structural relaxation from OQMD via LeMat-Bulk. Energies are from PBE.

Results
ρ, g/cm3: 5.20
Electronic total energy, eV/cell: -170.703

Cell: 11.5955 12.1680 7.5385 Å, 90.00 90.00 90.00°
Closest atoms and distances in Å follow each position.
Space group Pbam (No. 55)
Inequivalent atoms, fractional coordinates:
In 0.0000 0.0000 0.2452 (multiplicity 4)  4 S 2.66-2.95
In 0.1243 0.4085 0.2481 (multiplicity 8)  3 S 2.57-2.65, 1 Pt 2.63
In 0.1432 0.7183 0.0000 (multiplicity 4)  4 S 2.44-2.50
In 0.1653 0.6525 0.5000 (multiplicity 4)  3 S 2.64-2.65, 1 Pt 2.67
Pt 0.0000 0.5000 0.5000 (multiplicity 2)  6 In 2.63-2.67
S 0.0726 0.2722 0.0000 (multiplicity 4)  3 In 2.50-2.57
S 0.1119 0.1076 0.5000 (multiplicity 4)  3 In 2.64-2.66
S 0.1704 0.8213 0.2792 (multiplicity 8)  3 In 2.47-2.65
S 0.2213 0.5321 0.0000 (multiplicity 4)  3 In 2.44-2.65


Here is InPt3S5 after structural relaxation from OQMD via LeMat-Bulk. Energies are from PBE.

Results
ρ, g/cm3: 6.76
Electronic total energy, eV/cell: -42.021

Cell: 6.0932 6.0932 6.5749 Å, 90.00 90.00 120.00°
Closest atoms and distances in Å follow each position.
Space group P6/mmm (No. 191)
Inequivalent atoms, fractional coordinates:
In 0.0000 0.0000 0.0000 (multiplicity 1)  2 S 3.29
Pt 0.0000 0.5000 0.5000 (multiplicity 3)  4 S 2.36
S 0.0000 0.0000 0.5000 (multiplicity 1)  6 Pt 3.05, 2 In 3.29
S 0.3333 0.6667 0.2604 (multiplicity 4)  3 Pt 2.36


Here is InSb5Pt3 after structural relaxation from OQMD via LeMat-Bulk. Energies are from PBE.

Results
ρ, g/cm3: 9.59
Electronic total energy, eV/cell: -42.283

Cell: 5.6661 5.6661 8.1547 Å, 90.00 90.00 120.00°
Closest atoms and distances in Å follow each position.
Space group P6/mmm (No. 191)
Inequivalent atoms, fractional coordinates:
In 0.0000 0.0000 0.0000 (multiplicity 1)  14 Sb 3.71-4.08
Sb 0.0000 0.0000 0.5000 (multiplicity 1)  6 Pt 2.83
Sb 0.3333 0.6667 0.2149 (multiplicity 4)  3 Pt 2.84
Pt 0.0000 0.5000 0.5000 (multiplicity 3)  6 Sb 2.83-2.84, 4 Pt 2.83


Here is SrInSbPt2 after structural relaxation from OQMD via LeMat-Bulk. Energies are from PBE.

Results
ρ, g/cm3: 9.89
Electronic total energy, eV/cell: -48.540

Cell: 4.9395 4.7308 10.2874 Å, 90.00 94.03 90.00°
Closest atoms and distances in Å follow each position.
Space group P2_1/m (No. 11)
Inequivalent atoms, fractional coordinates:
Sr 0.2314 0.2500 0.2454 (multiplicity 2)  3 Pt 3.11-3.44
In 0.3171 0.2500 0.8854 (multiplicity 2)  5 Pt 2.71-2.78
Sb 0.2458 0.7500 0.4954 (multiplicity 2)  4 Pt 2.69-2.75
Pt 0.1678 0.7500 0.0020 (multiplicity 2)  4 In 2.72-2.78, 2 Pt 2.89
Pt 0.2724 0.2500 0.6212 (multiplicity 2)  4 Sb 2.69-2.75, 1 In 2.71


Here is SrInSbPt2 after structural relaxation from OQMD via LeMat-Bulk. Energies are from PBE.

Results
ρ, g/cm3: 10.01
Electronic total energy, eV/cell: -48.999

Cell: 4.7884 4.6408 10.6713 Å, 90.00 92.36 90.00°
Closest atoms and distances in Å follow each position.
Space group P2_1/m (No. 11)
Inequivalent atoms, fractional coordinates:
Sr 0.2425 0.2500 0.2418 (multiplicity 2)  5 Pt 3.21-3.52, 2 Sb 3.48, 2 In 3.58
In 0.2456 0.7500 0.4970 (multiplicity 2)  4 Pt 2.75-2.79
Sb 0.2999 0.2500 0.8806 (multiplicity 2)  5 Pt 2.62-2.74
Pt 0.1865 0.7500 0.9971 (multiplicity 2)  4 Sb 2.70-2.74, 2 Pt 2.93
Pt 0.2647 0.2500 0.6354 (multiplicity 2)  1 Sb 2.62, 4 In 2.75-2.79


Here is ScInPt2 after structural relaxation from OQMD via LeMat-Bulk. Energies are from PBE.

Results
ρ, g/cm3: 12.74
Electronic total energy, eV/cell: -49.134

Cell: 6.1405 6.5604 3.5589 Å, 90.00 90.00 90.00°
Closest atoms and distances in Å follow each position.
Space group Cmmm (No. 65)
Inequivalent atoms, fractional coordinates:
Sc 0.0000 0.0000 0.0000 (multiplicity 2)  8 Pt 2.87, 2 In 3.07
In 0.0000 0.5000 0.0000 (multiplicity 2)  8 Pt 2.87, 2 Sc 3.07
Pt 0.2500 0.2500 0.5000 (multiplicity 4)  4 In 2.87, 4 Sc 2.87, 2 Pt 3.07


Here is ScInPt after structural relaxation from OQMD via LeMat-Bulk. Energies are from PBE.

Results
ρ, g/cm3: 8.75
Electronic total energy, eV/cell: -64.373

Cell: 6.4584 6.4584 6.4584 Å, 90.00 90.00 90.00°
Closest atoms and distances in Å follow each position.
Space group F-43m (No. 216)
Inequivalent atoms, fractional coordinates:
Sc 0.0000 0.0000 0.0000 (multiplicity 4)  4 Pt 2.80, 4 In 2.80
In 0.2500 0.2500 0.7500 (multiplicity 4)  4 Sc 2.80
Pt 0.2500 0.2500 0.2500 (multiplicity 4)  4 Sc 2.80


Here is ScInPt after structural relaxation from OQMD via LeMat-Bulk. Energies are from PBE.

Results
ρ, g/cm3: 10.51
Electronic total energy, eV/cell: -49.835

Cell: 7.7716 7.7716 3.2168 Å, 90.00 90.00 120.00°
Closest atoms and distances in Å follow each position.
Space group P-62m (No. 189)
Inequivalent atoms, fractional coordinates:
Sc 0.0000 0.2948 0.0000 (multiplicity 3)  4 In 2.75-2.80, 4 Pt 3.07
In 0.0000 0.0000 0.5000 (multiplicity 1)  6 Sc 2.80, 3 Pt 2.85
In 0.3333 0.6667 0.0000 (multiplicity 2)  3 Sc 2.75, 6 Pt 2.95
Pt 0.0000 0.6338 0.5000 (multiplicity 3)  5 In 2.85-2.95, 6 Sc 3.07-3.09


Here is ScInPt after structural relaxation from OQMD via LeMat-Bulk. Energies are from PBE.

Results
ρ, g/cm3: 10.06
Electronic total energy, eV/cell: -53.439

Cell: 7.3826 7.3826 3.7211 Å, 90.00 90.00 120.00°
Closest atoms and distances in Å follow each position.
Space group P-62m (No. 189)
Inequivalent atoms, fractional coordinates:
Sc 0.0000 0.5964 0.0000 (multiplicity 3)  5 Pt 2.92-2.98, 6 In 3.06-3.22
In 0.0000 0.2668 0.5000 (multiplicity 3)  4 Pt 2.71-2.74
Pt 0.0000 0.0000 0.0000 (multiplicity 1)  6 In 2.71, 3 Sc 2.98
Pt 0.3333 0.6667 0.5000 (multiplicity 2)  3 In 2.74, 6 Sc 2.92


Here is ScInPt2 after structural relaxation from OQMD via LeMat-Bulk. Energies are from PBE.

Results
ρ, g/cm3: 12.71
Electronic total energy, eV/cell: -24.582

Cell: 4.5178 4.5178 3.5198 Å, 90.00 90.00 90.00°
Closest atoms and distances in Å follow each position.
Space group P4/mmm (No. 123)
Inequivalent atoms, fractional coordinates:
Sc 0.0000 0.0000 0.0000 (multiplicity 1)  8 Pt 2.86, 4 In 3.19
In 0.5000 0.5000 0.0000 (multiplicity 1)  8 Pt 2.86, 4 Sc 3.19
Pt 0.0000 0.5000 0.5000 (multiplicity 2)  4 In 2.86, 4 Sc 2.86, 4 Pt 3.19


Here is Sc5InPt4 after structural relaxation from OQMD via LeMat-Bulk. Energies are from PBE.

Results
ρ, g/cm3: 9.86
Electronic total energy, eV/cell: -69.345

Cell: 3.2948 3.2948 17.3799 Å, 90.00 90.00 90.00°
Closest atoms and distances in Å follow each position.
Space group P4/mmm (No. 123)
Inequivalent atoms, fractional coordinates:
Sc 0.0000 0.0000 0.0000 (multiplicity 1)  8 Pt 2.85
Sc 0.0000 0.0000 0.1904 (multiplicity 2)  8 Pt 2.86-2.87
Sc 0.0000 0.0000 0.3784 (multiplicity 2)  4 Pt 2.82, 4 In 3.15
In 0.5000 0.5000 0.5000 (multiplicity 1)  8 Sc 3.15, 4 In 3.29
Pt 0.5000 0.5000 0.0949 (multiplicity 2)  8 Sc 2.85-2.86
Pt 0.5000 0.5000 0.2867 (multiplicity 2)  8 Sc 2.82-2.87


Here is ScInPt after structural relaxation from OQMD via LeMat-Bulk. Energies are from PBE.

Results
ρ, g/cm3: 9.85
Electronic total energy, eV/cell: -51.390

Cell: 7.1460 7.1460 4.0591 Å, 90.00 90.00 120.00°
Closest atoms and distances in Å follow each position.
Space group P-62m (No. 189)
Inequivalent atoms, fractional coordinates:
Sc 0.0000 0.5728 0.0000 (multiplicity 3)  5 In 2.94-3.05, 2 Pt 3.05
In 0.0000 0.0000 0.0000 (multiplicity 1)  6 Pt 2.73, 3 Sc 3.05
In 0.3333 0.6667 0.5000 (multiplicity 2)  3 Pt 2.71, 6 Sc 2.94
Pt 0.0000 0.2548 0.5000 (multiplicity 3)  4 In 2.71-2.73


Here is ScInPt2 after structural relaxation from OQMD via LeMat-Bulk. Energies are from PBE.

Results
ρ, g/cm3: 12.64
Electronic total energy, eV/cell: -24.728

Cell: 3.3900 3.3900 6.2869 Å, 90.00 90.00 90.00°
Closest atoms and distances in Å follow each position.
Space group P4/mmm (No. 123)
Inequivalent atoms, fractional coordinates:
Sc 0.0000 0.0000 0.0000 (multiplicity 1)  8 Pt 2.83, 2 In 3.14
In 0.0000 0.0000 0.5000 (multiplicity 1)  8 Pt 2.90, 2 Sc 3.14
Pt 0.5000 0.5000 0.2403 (multiplicity 2)  4 Sc 2.83, 4 In 2.90, 1 Pt 3.02


Here is ScIn2Pt after structural relaxation from OQMD via LeMat-Bulk. Energies are from PBE.

Results
ρ, g/cm3: 9.80
Electronic total energy, eV/cell: -79.307

Cell: 6.8288 6.8288 6.8288 Å, 90.00 90.00 90.00°
Closest atoms and distances in Å follow each position.
Space group F-43m (No. 216)
Inequivalent atoms, fractional coordinates:
Sc 0.0000 0.0000 0.0000 (multiplicity 4)  4 In 2.96, 4 Pt 2.96
In 0.0000 0.0000 0.5000 (multiplicity 4)  4 In 2.96, 4 Pt 2.96
In 0.2500 0.2500 0.7500 (multiplicity 4)  4 In 2.96, 4 Sc 2.96
Pt 0.2500 0.2500 0.2500 (multiplicity 4)  4 In 2.96, 4 Sc 2.96


Here is Sc2InSiPt4 after structural relaxation from OQMD via LeMat-Bulk. Energies are from PBE.

Results
ρ, g/cm3: 12.05
Electronic total energy, eV/cell: -105.355

Cell: 7.4019 3.4712 10.8675 Å, 90.00 90.00 90.00°
Closest atoms and distances in Å follow each position.
Space group Amm2 (No. 38)
Inequivalent atoms, fractional coordinates:
Sc 0.0000 0.0000 0.0000 (multiplicity 2)  8 Pt 2.92-3.08, 3 In 2.97-3.02
Sc 0.5000 0.0000 0.0644 (multiplicity 2)  8 Pt 2.84-2.86, 3 Si 2.98-3.01
In 0.0000 0.0000 0.2730 (multiplicity 2)  6 Pt 2.68-2.74, 1 Sc 2.97
Si 0.5000 0.0000 0.7903 (multiplicity 2)  6 Pt 2.52-2.53
Pt 0.2253 0.0000 0.6526 (multiplicity 4)  1 Si 2.52, 2 In 2.74, 1 Pt 2.82
Pt 0.3110 0.0000 0.3995 (multiplicity 4)  2 Si 2.53, 1 In 2.68, 2 Pt 2.80-2.82


Here is Tb2ScIn3Pt2 after structural relaxation from OQMD via LeMat-Bulk. Energies are from PBE.

Results
ρ, g/cm3: 10.04
Electronic total energy, eV/cell: -85.505

Cell: 3.5657 13.3163 7.6467 Å, 90.00 90.00 90.00°
Closest atoms and distances in Å follow each position.
Space group Amm2 (No. 38)
Inequivalent atoms, fractional coordinates:
Tb 0.0000 0.2103 0.0000 (multiplicity 4)  4 Pt 2.94, 2 In 3.23
Sc 0.0000 0.0000 0.6334 (multiplicity 2)  4 Pt 2.83, 2 In 3.15
In 0.5000 0.0000 0.9729 (multiplicity 2)  2 Pt 2.95, 2 In 3.11, 2 Sc 3.15
In 0.5000 0.1130 0.3291 (multiplicity 4)  2 Pt 2.96-3.16, 2 In 3.01-3.11, 2 Tb 3.23, 2 Sc 3.30
Pt 0.5000 0.1600 0.7068 (multiplicity 4)  2 Sc 2.83, 4 Tb 2.94, 3 In 2.95-3.16


Here is Sc2TlInPt4 after structural relaxation from OQMD via LeMat-Bulk. Energies are from PBE.

Results
ρ, g/cm3: 13.63
Electronic total energy, eV/cell: -48.303

Cell: 4.6613 4.6613 6.6716 Å, 90.00 90.00 90.00°
Closest atoms and distances in Å follow each position.
Space group P4/mmm (No. 123)
Inequivalent atoms, fractional coordinates:
Sc 0.0000 0.0000 0.0000 (multiplicity 1)  8 Pt 2.83
Sc 0.5000 0.5000 0.5000 (multiplicity 1)  8 Pt 2.90
Tl 0.0000 0.0000 0.5000 (multiplicity 1)  8 Pt 2.90
In 0.5000 0.5000 0.0000 (multiplicity 1)  8 Pt 2.83
Pt 0.0000 0.5000 0.2419 (multiplicity 4)  2 In 2.83, 4 Sc 2.83-2.90, 2 Tl 2.90


Here is TmSc2In3Pt2 after structural relaxation from OQMD via LeMat-Bulk. Energies are from PBE.

Results
ρ, g/cm3: 9.69
Electronic total energy, eV/cell: -88.588

Cell: 3.4315 13.1114 7.5643 Å, 90.00 90.00 90.00°
Closest atoms and distances in Å follow each position.
Space group Amm2 (No. 38)
Inequivalent atoms, fractional coordinates:
Tm 0.0000 0.0000 0.0000 (multiplicity 2)  4 Pt 2.88, 2 In 3.15
Sc 0.0000 0.2113 0.3678 (multiplicity 4)  4 Pt 2.82, 2 In 3.11
In 0.5000 0.0000 0.3500 (multiplicity 2)  2 Pt 3.02, 2 In 3.03, 2 Tm 3.15, 4 Sc 3.26
In 0.5000 0.1187 0.6939 (multiplicity 4)  2 Pt 2.90-3.00, 2 In 3.03-3.11, 4 Sc 3.11-3.24
Pt 0.5000 0.1702 0.0810 (multiplicity 4)  4 Sc 2.82, 2 Tm 2.88, 3 In 2.90-3.02